AcNd2Y PBE relaxed; energy of formation from the pure elements = 0.16 eV per formula unit; energy above the most stable polymorph in this dataset = 1.2 kJ/mol of atoms; E = -4.99 eV per atom; ρ = 6.8 g/cm³; SG = Cm, No. 8
1.0
-1.031 -1.140 -3.421
2.606 -0.818 -2.571
0.658 -12.167 1.799
Y Nd Ac
1 2 1
direct
0.666 0.666 0.000 Y
0.254 0.254 0.239 Nd
0.080 0.080 0.761 Nd
0.500 0.500 0.500 Ac